The following is a DFT calculation (GGA+U) of a relaxed structure of SrCrRuO6.

Results
* space-group type: P312 (149)
* total magnetic moment: 1.97 μB/cell
* E: -6.9394 eV per atom

Cell: 5.200 5.200 5.343 Å, 90.00 90.00 120.00°
Sites, in units of the cell vectors:
Sr  0.000  0.000  0.000
Cr  0.333  0.667  0.500
Ru  0.667  0.333  0.500
O  0.385  0.007  0.700
O  0.385  0.378  0.300
O  0.622  0.007  0.300
O  0.622  0.615  0.700
O  0.993  0.378  0.700
O  0.993  0.615  0.300